1.
First-principles (PBE) data for a relaxed structure of Tb2EuGa, as listed in the Alexandria database.

The structure belongs to space group P4/mmm (No. 123); the cell edges are 4.860, 4.860 and 4.680 Å and the angles 90.00°, 90.00° and 90.00°. Symmetry generates all atoms from Tb at (0.000, 0.500, 0.000), Eu at (0.000, 0.000, 0.500) and Ga at (0.500, 0.500, 0.500).

For the distance to the lowest polymorph of the same formula, the calculation gives 0.064 eV per atom. The value obtained for the density is 8.1 g/cm3. The total energy comes out at -23.3 eV/cell. The value obtained for the total magnetization is 7.5 μB/f.u. The density of states at the Fermi level is 4.1 states/eV/cell. As for the crystal system: tetragonal. As for the energy relative to the elements: -0.173 eV/atom.

***

2.
First-principles (PBE) data for a relaxed structure of NbAl2H6, as listed in the Alexandria database.

The structure belongs to space group Fm-3m (No. 225); the cell edges are 6.662, 6.662 and 6.662 Å and the angles 90.00°, 90.00° and 90.00°. Symmetry generates all atoms from Nb at (0.000, 0.000, 0.000), Al at (0.250, 0.250, 0.250) and H at (0.000, 0.000, 0.276).

The value obtained for the density is 3.4 g/cm3. The total energy comes out at -144.3 eV/cell. The value obtained for the total magnetization is 0.0 μB/f.u. The density of states at the Fermi level is 10.1 states/eV/cell. As for the crystal system: cubic.

***

3.
First-principles (PBE) data for a relaxed structure of RbU2HgTe4, as listed in the Alexandria database.

The structure belongs to space group Cmcm (No. 63); the cell edges are 4.442, 15.657 and 16.074 Å and the angles 90.00°, 90.00° and 90.00°. Symmetry generates all atoms from Rb at (0.000, 0.144, 0.250), U at (0.000, 0.375, 0.077), Hg at (0.000, 0.155, 0.750), Te at (0.000, 0.000, 0.000), Te at (0.000, 0.267, 0.593) and Te at (0.000, 0.473, 0.250).

The calculation puts the formation energy without anion corrections at -0.478 eV/atom. The value obtained for the density is 7.6 g/cm3. The total energy comes out at -160.9 eV/cell. The value obtained for the total magnetization is 5.8 μB/f.u. The density of states at the Fermi level is 61.5 states/eV/cell. As for the crystal system: orthorhombic.

***

4.
First-principles (PBE) data for a relaxed structure of V4Mo4W, as listed in the Alexandria database.

The structure belongs to space group I4/mmm (No. 139); the cell edges are 9.272, 9.272 and 3.090 Å and the angles 90.00°, 90.00° and 90.00°. Symmetry generates all atoms from V at (0.166, 0.166, 0.000), Mo at (0.000, 0.330, 0.500) and W at (0.000, 0.000, 0.500).

For the distance to the lowest polymorph of the same formula, the calculation gives 0.000 eV per atom. The value obtained for the density is 9.6 g/cm3. The total energy comes out at -187.6 eV/cell. The value obtained for the total magnetization is 0.0 μB/f.u. The density of states at the Fermi level is 12.7 states/eV/cell. As for the crystal system: tetragonal. As for the energy relative to the elements: -0.115 eV/atom.

***

5.
First-principles (PBE) data for a relaxed structure of ScHgAu2, as listed in the Alexandria database.

The structure belongs to space group Immm (No. 71); the cell edges are 3.029, 5.004 and 11.374 Å and the angles 90.00°, 90.00° and 90.00°. Symmetry generates all atoms from Sc at (0.000, 0.000, 0.000), Hg at (0.000, 0.000, 0.500) and Au at (0.000, 0.000, 0.242).

The value obtained for the density is 12.3 g/cm3. The total energy comes out at -26.9 eV/cell. The value obtained for the total magnetization is 0.0 μB/f.u. The density of states at the Fermi level is 4.8 states/eV/cell. As for the crystal system: orthorhombic. As for the energy relative to the elements: -0.065 eV/atom.

***

6.
First-principles (PBE) data for a relaxed structure of TcB2Sb, as listed in the Alexandria database.

The structure belongs to space group I-42d (No. 122); the cell edges are 5.149, 5.149 and 9.693 Å and the angles 90.00°, 90.00° and 90.00°. Symmetry generates all atoms from Tc at (0.000, 0.000, 0.000), B at (0.208, 0.250, 0.125) and Sb at (0.000, 0.000, 0.500).

The calculation puts the formation energy without anion corrections at 0.727 eV/atom. The value obtained for the density is 6.2 g/cm3. The total energy comes out at -99.7 eV/cell. The value obtained for the total magnetization is 0.0 μB/f.u. The density of states at the Fermi level is 10.3 states/eV/cell. As for the crystal system: tetragonal.